Record 1
CaFeBr2 | PBE | relaxed Values from VASP.

Computed properties:
Formation energy from raw total energies (meV per atom): -9
Polymorph energy (0 for the lowest one) (kJ/mol of formula units): 229
SG: F-43m, No. 216
Electronic total energy (eV/atom): -3.461

The structure in Quantum ESPRESSO input format:
```
&SYSTEM
  ibrav = 0, nat = 4, ntyp = 3
/
ATOMIC_SPECIES
Ca 40.08 Ca.upf
Fe 55.84 Fe.upf
Br 79.90 Br.upf
ATOMIC_POSITIONS angstrom
Ca 0.0000 0.0000 0.0000
Fe 5.6101 5.6101 5.6101
Br 1.8700 1.8700 1.8700
Br 3.7401 3.7401 3.7401
CELL_PARAMETERS angstrom
0.0000 3.7401 3.7401
3.7401 0.0000 3.7401
3.7401 3.7401 0.0000
```

---

Record 2
BaPa2NiN5 | PBE | relaxed Values from VASP.

Computed properties:
Formation energy from raw total energies (meV per atom): -990
SG: I4/mcm, No. 140
Electronic total energy (eV/atom): -8.581

The structure in Quantum ESPRESSO input format:
```
&SYSTEM
  ibrav = 0, nat = 18, ntyp = 4
/
ATOMIC_SPECIES
Ba 137.33 Ba.upf
Pa 231.04 Pa.upf
Ni 58.69 Ni.upf
N 14.01 N.upf
ATOMIC_POSITIONS angstrom
Ba 0.0000 0.0000 2.8832
Ba 0.0000 0.0000 8.6495
Pa 4.5268 1.2005 0.0000
Pa 1.2005 2.1259 0.0000
Pa 2.1259 1.2005 5.7663
Pa -1.2005 2.1259 5.7663
Ni 3.3263 0.0000 2.8832
Ni 0.0000 3.3263 2.8832
N 0.0000 0.0000 0.0000
N 2.4357 0.8906 -1.4331
N 2.4357 -0.8906 4.3332
N 2.4357 0.8906 1.4331
N 2.4357 -0.8906 7.1994
N 0.0000 0.0000 5.7663
N 0.8906 4.2169 -1.4331
N 0.8906 2.4357 4.3332
N 0.8906 4.2169 1.4331
N 0.8906 2.4357 7.1994
CELL_PARAMETERS angstrom
-3.3263 3.3263 5.7663
3.3263 -3.3263 5.7663
3.3263 3.3263 -5.7663
```

---

Record 3
In2RhI8 | PBE | relaxed Values from VASP.

Computed properties:
Formation energy from raw total energies (meV per atom): -359
Polymorph energy (0 for the lowest one) (kJ/mol of formula units): 0
SG: C2/m, No. 12
Electronic total energy (eV/atom): -2.653

The structure in Quantum ESPRESSO input format:
```
&SYSTEM
  ibrav = 0, nat = 11, ntyp = 3
/
ATOMIC_SPECIES
In 114.82 In.upf
Rh 102.91 Rh.upf
I 126.90 I.upf
ATOMIC_POSITIONS angstrom
In 2.6400 0.0000 1.0506
In 10.1993 0.0000 6.1715
Rh -0.3562 0.0000 3.6110
I 5.1402 3.5250 5.0069
I 1.9697 0.0000 5.5074
I 7.6991 3.5250 2.2151
I 5.1751 0.0000 2.0109
I 7.6642 0.0000 5.2111
I 5.1402 -3.5250 5.0069
I 10.8696 0.0000 1.7147
I 7.6991 -3.5250 2.2151
CELL_PARAMETERS angstrom
6.7759 -5.4525 0.0000
6.7759 5.4525 0.0000
-0.7124 0.0000 7.2220
```

---

Record 4
Mg2Zn2Cd | PBE | relaxed Values from VASP.

Computed properties:
Polymorph energy (0 for the lowest one) (kJ/mol of formula units): 59
Calculated formation energy (kJ per mole of atoms): 4
SG: P4/mbm, No. 127
Electronic total energy (eV/atom): -1.292

The structure in Quantum ESPRESSO input format:
```
&SYSTEM
  ibrav = 0, nat = 10, ntyp = 3
/
ATOMIC_SPECIES
Mg 24.30 Mg.upf
Zn 65.41 Zn.upf
Cd 112.41 Cd.upf
ATOMIC_POSITIONS angstrom
Mg 1.0730 2.9629 0.0000
Mg 2.9629 6.9989 0.0000
Mg 5.1090 1.0730 0.0000
Mg 6.9989 5.1090 0.0000
Zn 1.3371 5.3731 1.5389
Zn 2.6988 1.3371 1.5389
Zn 5.3731 6.7347 1.5389
Zn 6.7347 2.6988 1.5389
Cd 0.0000 0.0000 0.0000
Cd 4.0359 4.0359 0.0000
CELL_PARAMETERS angstrom
8.0719 0.0000 0.0000
0.0000 8.0719 0.0000
0.0000 0.0000 3.0777
```

---

Record 5
Ba2NpFeS5 | PBE | relaxed Values from VASP.

Computed properties:
Formation energy from raw total energies (meV per atom): -1441
SG: Cmc2_1, No. 36
Electronic total energy (eV/atom): -6.540

The structure in Quantum ESPRESSO input format:
```
&SYSTEM
  ibrav = 0, nat = 18, ntyp = 4
/
ATOMIC_SPECIES
Ba 137.33 Ba.upf
Np 237.00 Np.upf
Fe 55.84 Fe.upf
S 32.06 S.upf
ATOMIC_POSITIONS angstrom
Ba 2.0690 6.7487 6.4471
Ba 2.0690 6.7030 1.8199
Ba 2.0690 -6.7030 8.2669
Ba 2.0690 -6.7487 0.0000
Np 2.0690 5.4449 10.6898
Np 2.0690 -5.4449 4.2428
Fe 2.0690 1.0796 3.1213
Fe 2.0690 -1.0796 9.5684
S 2.0690 8.1190 10.6084
S 2.0690 3.5011 6.0284
S 2.0690 3.3503 2.4528
S 2.0690 2.8096 10.5924
S 2.0690 0.0539 1.1286
S 2.0690 -0.0539 7.5757
S 2.0690 -2.8096 4.1454
S 2.0690 -3.3503 8.8999
S 2.0690 -3.5011 12.4755
S 2.0690 -8.1190 4.1614
CELL_PARAMETERS angstrom
2.0690 -8.8831 0.0000
2.0690 8.8831 0.0000
0.0000 0.0000 12.8941
```

---

Record 6
Li2NdSnS4 | PBE | relaxed Values from VASP.

Computed properties:
Formation energy from raw total energies (meV per atom): -1231
SG: I-4m2, No. 119
Electronic total energy (eV/atom): -4.869

The structure in Quantum ESPRESSO input format:
```
&SYSTEM
  ibrav = 0, nat = 8, ntyp = 4
/
ATOMIC_SPECIES
Li 6.94 Li.upf
Nd 144.24 Nd.upf
Sn 118.71 Sn.upf
S 32.06 S.upf
ATOMIC_POSITIONS angstrom
Li 0.0000 0.0000 0.0000
Li 0.0000 2.7669 2.7905
Nd 2.7669 0.0000 2.7905
Sn 0.0000 0.0000 5.5809
S 0.0000 0.0000 2.8551
S 0.0000 2.7669 0.0558
S 0.0000 0.0000 8.3068
S 0.0000 2.7669 5.5251
CELL_PARAMETERS angstrom
-2.7669 2.7669 5.5809
2.7669 -2.7669 5.5809
2.7669 2.7669 -5.5809
```

---

Record 7
SmZnCu3Ni | PBE | relaxed Values from VASP.

Computed properties:
Calculated formation energy (kJ per mole of atoms): -6
SG: Cmcm, No. 63
Electronic total energy (eV/atom): -4.072

The structure in Quantum ESPRESSO input format:
```
&SYSTEM
  ibrav = 0, nat = 12, ntyp = 4
/
ATOMIC_SPECIES
Sm 150.36 Sm.upf
Zn 65.41 Zn.upf
Cu 63.55 Cu.upf
Ni 58.69 Ni.upf
ATOMIC_POSITIONS angstrom
Sm 2.6536 4.3564 3.8267
Sm 2.6536 -4.3564 1.2756
Zn 2.6536 1.5476 3.8267
Zn 2.6536 -1.5476 1.2756
Cu 1.2213 0.0000 0.0000
Cu 1.2213 0.0000 2.5511
Cu 2.6536 1.8347 1.2756
Cu 2.6536 -1.8347 3.8267
Cu 4.0859 0.0000 0.0000
Cu 4.0859 0.0000 2.5511
Ni 2.6536 5.1466 1.2756
Ni 2.6536 -5.1466 3.8267
CELL_PARAMETERS angstrom
2.6536 -7.0187 0.0000
2.6536 7.0187 0.0000
0.0000 0.0000 5.1023
```

---

Record 8
FeAgTePd | PBE | relaxed Values from VASP.

Computed properties:
Formation energy from raw total energies (meV per atom): 182
Polymorph energy (0 for the lowest one) (kJ/mol of formula units): 18
SG: P1, No. 1
Electronic total energy (eV/atom): -4.731

The structure in Quantum ESPRESSO input format:
```
&SYSTEM
  ibrav = 0, nat = 4, ntyp = 4
/
ATOMIC_SPECIES
Fe 55.84 Fe.upf
Ag 107.87 Ag.upf
Te 127.60 Te.upf
Pd 106.42 Pd.upf
ATOMIC_POSITIONS angstrom
Fe 0.0000 0.0000 0.0000
Ag 0.0123 0.6073 4.4189
Te 0.0087 2.9648 2.4618
Pd 1.6983 0.6438 2.0668
CELL_PARAMETERS angstrom
3.3840 0.0000 0.0000
-0.0012 4.6325 0.0000
-1.6820 -1.7412 4.5407
```

---

| no. | theoretical density (g/cm³) | calculated volume (A^3/atom) |
| --- | --- | --- |
| 1 | 4.06 | 26.16 |
| 2 | 9.48 | 14.18 |
| 3 | 4.19 | 48.51 |
| 4 | 4.83 | 20.05 |
| 5 | 5.10 | 26.33 |
| 6 | 3.94 | 21.36 |
| 7 | 8.13 | 15.84 |
| 8 | 9.28 | 17.80 |